# 1
{
  "formula": "SiAs2Ir",
  "functional": "PBEsol",
  "state": "optimized geometry",
  "lattice_angstrom": [[4.172, 0.000, 0.000], [-2.086, 4.124, 0.005], [0.000, 2.106, 3.601]],
  "species": ["As", "As", "Si", "Ir"],
  "frac_coords": [[0.250, 0.500, 0.250], [0.000, 0.000, 0.000], [0.750, 0.500, 0.750], [0.500, 0.000, 0.500]],
  "raw_formation_energy_ev_per_atom": 0.271,
  "density_g_cm3": 9.93
}

# 2
{
  "formula": "Si3AsIr",
  "functional": "PBEsol",
  "state": "optimized geometry",
  "lattice_angstrom": [[4.595, 0.000, 0.000], [0.000, 4.595, 0.000], [0.000, 0.000, 4.595]],
  "species": ["Ir", "Si", "Si", "Si", "As"],
  "frac_coords": [[0.000, 0.000, 0.000], [0.000, 0.500, 0.000], [0.500, 0.000, 0.000], [0.000, 0.000, 0.500], [0.500, 0.500, 0.500]],
  "raw_formation_energy_ev_per_atom": 0.347,
  "density_g_cm3": 6.01
}

# 3
{
  "formula": "SiAsIr2",
  "functional": "PBEsol",
  "state": "optimized geometry",
  "lattice_angstrom": [[2.881, 0.000, 0.000], [1.440, 2.495, 0.000], [1.440, 0.832, 7.880]],
  "species": ["Si", "Ir", "Ir", "As"],
  "frac_coords": [[0.500, 0.500, 0.500], [0.244, 0.244, 0.269], [0.756, 0.756, 0.731], [0.000, 0.000, 0.000]],
  "de_polymorph_ev_per_fu": 0.00,
  "raw_formation_energy_ev_per_atom": -0.247,
  "density_g_cm3": 14.30
}

# 4
{
  "formula": "SiAsIr",
  "functional": "PBEsol",
  "state": "optimized geometry",
  "lattice_angstrom": [[4.106, 0.000, 0.000], [2.053, 3.556, 0.000], [2.053, 1.185, 3.353]],
  "species": ["Si", "As", "Ir"],
  "frac_coords": [[0.750, 0.750, 0.750], [0.000, 0.000, 0.000], [0.500, 0.500, 0.500]],
  "de_polymorph_ev_per_fu": 0.00,
  "raw_formation_energy_ev_per_atom": 0.176,
  "density_g_cm3": 10.01
}

# 5
{
  "formula": "SrAsIr3",
  "functional": "PBEsol",
  "state": "optimized geometry",
  "lattice_angstrom": [[4.621, 0.000, 0.000], [0.000, 4.621, 0.000], [0.000, 0.000, 4.621]],
  "species": ["Ir", "Ir", "Ir", "Sr", "As"],
  "frac_coords": [[0.500, 0.000, 0.000], [0.000, 0.500, 0.000], [0.000, 0.000, 0.500], [0.500, 0.500, 0.500], [0.000, 0.000, 0.000]],
  "density_g_cm3": 12.44,
  "formation_enthalpy_0k_mev_per_atom": 438
}

# 6
{
  "formula": "SrAsIr2",
  "functional": "PBEsol",
  "state": "optimized geometry",
  "lattice_angstrom": [[3.114, 0.000, 0.000], [0.000, 4.811, -0.040], [0.000, -1.009, 4.704]],
  "species": ["Ir", "Ir", "As", "Sr"],
  "frac_coords": [[0.000, 0.000, 0.500], [0.000, 0.500, 0.000], [0.500, 0.500, 0.500], [0.500, 0.000, 0.000]],
  "density_g_cm3": 12.91,
  "formation_enthalpy_0k_mev_per_atom": 378
}